[1]
Density functional theory data (PBE-GGA) for a geometry-optimized Zn2CoTe structure.

Output
ΔE_f (raw) (eV per atom): 0.303
V (Å³/cell): 133.3
Total moment (μB/f.u.): 0.6

Cell: 3.8172 4.4103 7.9183 Å, 90.00 90.00 90.00°
Closest atoms and distances in Å follow each position.
Space group Imm2 (No. 44)
Inequivalent atoms, fractional coordinates:
Zn: 0.0000 0.0000 0.0000 [2 per cell]  2 Co 2.63, 4 Zn 2.80-2.92, 4 Te 2.93
Zn: 0.0000 0.5000 0.2414 [2 per cell]  4 Zn 2.80-2.92, 4 Te 2.86-2.87, 4 Co 2.92
Co: 0.0000 0.5000 0.7278 [2 per cell]  6 Zn 2.63-2.92, 2 Te 2.71
Te: 0.0000 0.0000 0.4706 [2 per cell]  4 Co 2.71-3.00, 8 Zn 2.86-2.93

=====

[2]
Density functional theory data (PBE-GGA) for a geometry-optimized Zn2CoTe structure.

Output
ΔE_f (raw) (eV per atom): 0.201
V (Å³/cell): 227.5
Total moment (μB/f.u.): 0.0

Cell: 3.5031 3.5031 21.4064 Å, 90.00 90.00 120.00°
Closest atoms and distances in Å follow each position.
Space group R3m (No. 160, hexagonal axes)
Inequivalent atoms, fractional coordinates:
Zn: 0.0000 0.0000 0.0000 [3 per cell]  3 Co 2.57, 3 Zn 2.63
Zn: 0.0000 0.0000 0.2550 [3 per cell]  3 Zn 2.63
Co: 0.0000 0.0000 0.7407 [3 per cell]  3 Te 2.45, 3 Zn 2.57
Te: 0.0000 0.0000 0.4715 [3 per cell]  3 Co 2.45

=====

[3]
Density functional theory data (PBE-GGA) for a geometry-optimized ZnCoTe structure.

Output
ΔE_f (raw) (eV per atom): 0.237
E above lowest polymorph (eV/atom): 0.295
V (Å³/cell): 112.0
Total moment (μB/f.u.): 0.0

Cell: 3.0582 3.0582 11.9758 Å, 90.00 90.00 90.00°
Closest atoms and distances in Å follow each position.
Space group I4mm (No. 107)
Inequivalent atoms, fractional coordinates:
Zn: 0.0000 0.0000 0.0000 [2 per cell]  4 Co 2.60
Co: 0.0000 0.0000 0.3787 [2 per cell]  4 Zn 2.60, 4 Te 2.65
Te: 0.0000 0.0000 0.7515 [2 per cell]  4 Co 2.65

=====

[4]
Density functional theory data (PBE-GGA) for a geometry-optimized Zn2CoTe structure.

Output
ΔE_f (raw) (eV per atom): 0.367
V (Å³/cell): 265.4
Total moment (μB/f.u.): 0.3

Cell: 6.4263 6.4263 6.4263 Å, 90.00 90.00 90.00°
Closest atoms and distances in Å follow each position.
Space group F-43m (No. 216)
Inequivalent atoms, fractional coordinates:
Zn: 0.0000 0.0000 0.0000 [4 per cell]  4 Te 2.78, 4 Zn 2.78
Zn: 0.2500 0.2500 0.2500 [4 per cell]  4 Co 2.78, 4 Zn 2.78
Co: 0.0000 0.0000 0.5000 [4 per cell]  4 Zn 2.78, 4 Te 2.78
Te: 0.2500 0.2500 0.7500 [4 per cell]  4 Co 2.78, 4 Zn 2.78

=====

Among the records above, which one has the highest ΔE_f (raw)? number 4